This record from Alexandria describes a relaxed structure of CsSeF3. The functional is PBE.

Values from the calculation:
Total magnetic moment   0.00 Bohr magnetons per cell
Fermi-level density of states   0.000 states/eV/f.u.
Raw formation energy   -1952 meV/atom

```
data_CsSeF3
_symmetry_space_group_name_H-M 'P -1'
_symmetry_Int_Tables_number 2
_cell_length_a 4.697
_cell_length_b 6.817
_cell_length_c 8.523
_cell_angle_alpha 68.95
_cell_angle_beta 74.61
_cell_angle_gamma 87.64
loop_
_symmetry_equiv_pos_as_xyz
'x,y,z'
'-x,-y,-z'
loop_
_atom_site_label
_atom_site_type_symbol
_atom_site_fract_x
_atom_site_fract_y
_atom_site_fract_z
Cs1 Cs 0.174 0.185 0.190
Se1 Se 0.319 0.374 0.641
F1 F 0.262 0.192 0.523
F2 F 0.305 0.114 0.839
F3 F 0.360 0.521 0.799
```



This record from Alexandria describes a relaxed structure of Cu3SnSb. The functional is PBE.

Values from the calculation:
Total magnetic moment   0.00 Bohr magnetons per cell
Fermi-level density of states   2.864 states/eV/f.u.
Raw formation energy   606 meV/atom

```
data_Cu3SnSb
_symmetry_space_group_name_H-M 'P m -3 m'
_symmetry_Int_Tables_number 221
_symmetry_space_group_name_Hall '-P 4 2 3'
_cell_length_a 4.868
_cell_length_b 4.868
_cell_length_c 4.868
_cell_angle_alpha 90.00
_cell_angle_beta 90.00
_cell_angle_gamma 90.00
loop_
_atom_site_label
_atom_site_type_symbol
_atom_site_fract_x
_atom_site_fract_y
_atom_site_fract_z
Cu1 Cu 0.000 0.000 0.500
Sn1 Sn 0.500 0.500 0.500
Sb1 Sb 0.000 0.000 0.000
```